First-principles (PBE-GGA) data for a geometry-optimized ScAl2Ag structure, as listed in Alexandria.

Structure (CIF):
```
data_ScAl2Ag
_chemical_formula_sum 'Sc4 Al8 Ag4'
_space_group_name_H-M_alt 'F -4 3 m'
_space_group_IT_number 216
_space_group_name_Hall 'F -4 2 3'
_cell_length_a 6.610
_cell_length_b 6.610
_cell_length_c 6.610
_cell_angle_alpha 90.00
_cell_angle_beta 90.00
_cell_angle_gamma 90.00
loop_
_atom_site_label
_atom_site_type_symbol
_atom_site_fract_x
_atom_site_fract_y
_atom_site_fract_z
Sc1 Sc 0.000 0.000 0.000
Al1 Al 0.000 0.000 0.500
Al2 Al 0.250 0.250 0.750
Ag1 Ag 0.250 0.250 0.250
```

Values from the calculation:
N(E_F)   2.14 states/eV/f.u.
ΔH_f (0 K)   -21 kJ/mol of atoms

=====

First-principles (PBE-GGA) data for a geometry-optimized Pm4Dy3Bi4 structure, as listed in Alexandria.

Structure (CIF):
```
data_Pm4Dy3Bi4
_chemical_formula_sum 'Pm8 Dy6 Bi8'
_space_group_name_H-M_alt 'I m m m'
_space_group_IT_number 71
_space_group_name_Hall '-I 2 2'
_cell_length_a 4.087
_cell_length_b 9.322
_cell_length_c 18.297
_cell_angle_alpha 90.00
_cell_angle_beta 90.00
_cell_angle_gamma 90.00
loop_
_atom_site_label
_atom_site_type_symbol
_atom_site_fract_x
_atom_site_fract_y
_atom_site_fract_z
Pm1 Pm 0.000 0.177 0.166
Dy1 Dy 0.000 0.000 0.403
Dy2 Dy 0.000 0.500 0.500
Bi1 Bi 0.000 0.291 0.000
Bi2 Bi 0.000 0.500 0.229
```

Values from the calculation:
N(E_F)   13.15 states/eV/f.u.
ΔH_f (0 K)   -54 kJ/mol of atoms

=====

First-principles (PBE-GGA) data for a geometry-optimized TcRu2Pt structure, as listed in Alexandria.

Structure (CIF):
```
data_TcRu2Pt
_chemical_formula_sum 'Tc1 Ru2 Pt1'
_space_group_name_H-M_alt 'P 1 2/m 1'
_space_group_IT_number 10
_cell_length_a 2.670
_cell_length_b 4.639
_cell_length_c 4.788
_cell_angle_alpha 90.00
_cell_angle_beta 90.87
_cell_angle_gamma 90.00
loop_
_space_group_symop_operation_xyz
'x,y,z'
'-x,-y,-z'
'-x,y,-z'
'x,-y,z'
loop_
_atom_site_label
_atom_site_type_symbol
_atom_site_fract_x
_atom_site_fract_y
_atom_site_fract_z
Tc1 Tc 0.000 0.000 0.000
Ru1 Ru 0.233 0.500 0.753
Pt1 Pt 0.500 0.000 0.500
```

Values from the calculation:
N(E_F)   5.32 states/eV/f.u.
ΔH_f (0 K)   30 kJ/mol of atoms
Relative energy among the computed polymorphs   1.56 eV/f.u.

=====

First-principles (PBE-GGA) data for a geometry-optimized Mn2HWN structure, as listed in Alexandria.

Structure (CIF):
```
data_Mn2HWN
_chemical_formula_sum 'Mn2 H1 W1 N1'
_space_group_name_H-M_alt 'P 4/m m m'
_space_group_IT_number 123
_space_group_name_Hall '-P 4 2'
_cell_length_a 3.245
_cell_length_b 3.245
_cell_length_c 4.666
_cell_angle_alpha 90.00
_cell_angle_beta 90.00
_cell_angle_gamma 90.00
loop_
_atom_site_label
_atom_site_type_symbol
_atom_site_fract_x
_atom_site_fract_y
_atom_site_fract_z
Mn1 Mn 0.000 0.500 0.000
H1 H 0.000 0.000 0.000
W1 W 0.500 0.500 0.500
N1 N 0.000 0.000 0.500
```

Values from the calculation:
VASP energy   -39.55 eV per cell
N(E_F)   3.28 states/eV/f.u.

=====

First-principles (PBE-GGA) data for a geometry-optimized YPuSb structure, as listed in Alexandria.

Structure (CIF):
```
data_YPuSb
_chemical_formula_sum 'Y2 Pu2 Sb2'
_space_group_name_H-M_alt 'P 4/n m m'
_space_group_IT_number 129
_cell_length_a 4.321
_cell_length_b 4.321
_cell_length_c 8.770
_cell_angle_alpha 90.00
_cell_angle_beta 90.00
_cell_angle_gamma 90.00
loop_
_space_group_symop_operation_xyz
'x,y,z'
'-x,-y,-z'
'-y+1/2,x,z'
'y+1/2,-x,-z'
'-x+1/2,-y+1/2,z'
'x+1/2,y+1/2,-z'
'y,-x+1/2,z'
'-y,x+1/2,-z'
'x+1/2,-y,-z'
'-x+1/2,y,z'
'-y,-x,-z'
'y,x,z'
'-x,y+1/2,-z'
'x,-y+1/2,z'
'y+1/2,x+1/2,-z'
'-y+1/2,-x+1/2,z'
loop_
_atom_site_label
_atom_site_type_symbol
_atom_site_fract_x
_atom_site_fract_y
_atom_site_fract_z
Y1 Y 0.250 0.250 0.143
Pu1 Pu 0.250 0.750 0.500
Sb1 Sb 0.250 0.250 0.786
```

Values from the calculation:
N(E_F)   6.03 states/eV/f.u.
E_form (uncorrected)   -723 meV/atom

=====

First-principles (PBE-GGA) data for a geometry-optimized SbPd3Pt2 structure, as listed in Alexandria.

Structure (CIF):
```
data_SbPd3Pt2
_chemical_formula_sum 'Sb2 Pd6 Pt4'
_space_group_name_H-M_alt 'C m m m'
_space_group_IT_number 65
_space_group_name_Hall '-C 2 2'
_cell_length_a 4.124
_cell_length_b 11.709
_cell_length_c 4.032
_cell_angle_alpha 90.00
_cell_angle_beta 90.00
_cell_angle_gamma 90.00
loop_
_atom_site_label
_atom_site_type_symbol
_atom_site_fract_x
_atom_site_fract_y
_atom_site_fract_z
Sb1 Sb 0.000 0.000 0.000
Pd1 Pd 0.000 0.334 0.000
Pd2 Pd 0.000 0.500 0.500
Pt1 Pt 0.000 0.167 0.500
```

Values from the calculation:
N(E_F)   5.49 states/eV/f.u.
E_form (uncorrected)   -259 meV/atom
Relative energy among the computed polymorphs   0.00 eV/f.u.

=====

First-principles (PBE-GGA) data for a geometry-optimized VCuMoS2 structure, as listed in Alexandria.

Structure (CIF):
```
data_VCuMoS2
_chemical_formula_sum 'V1 Cu1 Mo1 S2'
_space_group_name_H-M_alt 'P 4/m m m'
_space_group_IT_number 123
_space_group_name_Hall '-P 4 2'
_cell_length_a 4.616
_cell_length_b 4.616
_cell_length_c 4.697
_cell_angle_alpha 90.00
_cell_angle_beta 90.00
_cell_angle_gamma 90.00
loop_
_atom_site_label
_atom_site_type_symbol
_atom_site_fract_x
_atom_site_fract_y
_atom_site_fract_z
V1 V 0.000 0.000 0.000
Cu1 Cu 0.500 0.500 0.000
Mo1 Mo 0.000 0.000 0.500
S1 S 0.000 0.500 0.500
```

Values from the calculation:
N(E_F)   6.28 states/eV/f.u.
E_form (uncorrected)   836 meV/atom

=====

First-principles (PBE-GGA) data for a geometry-optimized Na3Tb2InS6 structure, as listed in Alexandria.

Structure (CIF):
```
data_Na3Tb2InS6
_chemical_formula_sum 'Na6 Tb4 In2 S12'
_space_group_name_H-M_alt 'C 1 2/m 1'
_space_group_IT_number 12
_cell_length_a 6.840
_cell_length_b 11.849
_cell_length_c 7.102
_cell_angle_alpha 90.00
_cell_angle_beta 108.70
_cell_angle_gamma 90.00
loop_
_space_group_symop_operation_xyz
'x,y,z'
'-x,-y,-z'
'-x,y,-z'
'x,-y,z'
'x+1/2,y+1/2,z'
'-x+1/2,-y+1/2,-z'
'-x+1/2,y+1/2,-z'
'x+1/2,-y+1/2,z'
loop_
_atom_site_label
_atom_site_type_symbol
_atom_site_fract_x
_atom_site_fract_y
_atom_site_fract_z
Na1 Na 0.000 0.000 0.000
Na2 Na 0.000 0.335 0.000
Tb1 Tb 0.000 0.167 0.500
In1 In 0.000 0.500 0.500
S1 S 0.239 0.337 0.727
S2 S 0.250 0.000 0.725
```

Values from the calculation:
N(E_F)   0.00 states/eV/f.u.
E_form (uncorrected)   -1498 meV/atom

=====

First-principles (PBE-GGA) data for a geometry-optimized In2TcPt structure, as listed in Alexandria.

Structure (CIF):
```
data_In2TcPt
_chemical_formula_sum 'In8 Tc4 Pt4'
_space_group_name_H-M_alt 'F -4 3 m'
_space_group_IT_number 216
_space_group_name_Hall 'F -4 2 3'
_cell_length_a 6.617
_cell_length_b 6.617
_cell_length_c 6.617
_cell_angle_alpha 90.00
_cell_angle_beta 90.00
_cell_angle_gamma 90.00
loop_
_atom_site_label
_atom_site_type_symbol
_atom_site_fract_x
_atom_site_fract_y
_atom_site_fract_z
In1 In 0.000 0.000 0.000
In2 In 0.250 0.250 0.250
Tc1 Tc 0.250 0.250 0.750
Pt1 Pt 0.000 0.000 0.500
```

Values from the calculation:
N(E_F)   5.97 states/eV/f.u.
ΔH_f (0 K)   28 kJ/mol of atoms

=====

First-principles (PBE-GGA) data for a geometry-optimized Tm2Ag3SnSe6 structure, as listed in Alexandria.

Structure (CIF):
```
data_Tm2Ag3SnSe6
_chemical_formula_sum 'Tm4 Ag6 Sn2 Se12'
_space_group_name_H-M_alt 'C 1 2/m 1'
_space_group_IT_number 12
_cell_length_a 18.126
_cell_length_b 4.080
_cell_length_c 7.951
_cell_angle_alpha 90.00
_cell_angle_beta 101.24
_cell_angle_gamma 90.00
loop_
_space_group_symop_operation_xyz
'x,y,z'
'-x,-y,-z'
'-x,y,-z'
'x,-y,z'
'x+1/2,y+1/2,z'
'-x+1/2,-y+1/2,-z'
'-x+1/2,y+1/2,-z'
'x+1/2,-y+1/2,z'
loop_
_atom_site_label
_atom_site_type_symbol
_atom_site_fract_x
_atom_site_fract_y
_atom_site_fract_z
Tm1 Tm 0.167 0.000 0.332
Ag1 Ag 0.000 0.500 0.500
Ag2 Ag 0.176 0.000 0.833
Sn1 Sn 0.000 0.500 0.000
Se1 Se 0.004 0.000 0.261
Se2 Se 0.163 0.500 0.080
Se3 Se 0.172 0.500 0.583
```

Values from the calculation:
N(E_F)   2.04 states/eV/f.u.
E_form (uncorrected)   -850 meV/atom

=====

First-principles (PBE-GGA) data for a geometry-optimized YFeOs2 structure, as listed in Alexandria.

Structure (CIF):
```
data_YFeOs2
_chemical_formula_sum 'Y2 Fe2 Os4'
_space_group_name_H-M_alt 'C 1 m 1'
_space_group_IT_number 8
_cell_length_a 9.580
_cell_length_b 2.995
_cell_length_c 4.955
_cell_angle_alpha 90.00
_cell_angle_beta 106.29
_cell_angle_gamma 90.00
loop_
_space_group_symop_operation_xyz
'x,y,z'
'x,-y,z'
'x+1/2,y+1/2,z'
'x+1/2,-y+1/2,z'
loop_
_atom_site_label
_atom_site_type_symbol
_atom_site_fract_x
_atom_site_fract_y
_atom_site_fract_z
Y1 Y 0.000 0.000 0.000
Fe1 Fe 0.272 0.500 0.271
Os1 Os 0.233 0.000 0.641
Os2 Os 0.498 0.000 0.512
```

Values from the calculation:
N(E_F)   3.37 states/eV/f.u.
ΔH_f (0 K)   27 kJ/mol of atoms
Relative energy among the computed polymorphs   0.20 eV/f.u.

=====

First-principles (PBE-GGA) data for a geometry-optimized LiSmZnCo structure, as listed in Alexandria.

Structure (CIF):
```
data_LiSmZnCo
_chemical_formula_sum 'Li4 Sm4 Zn4 Co4'
_space_group_name_H-M_alt 'F -4 3 m'
_space_group_IT_number 216
_space_group_name_Hall 'F -4 2 3'
_cell_length_a 6.480
_cell_length_b 6.480
_cell_length_c 6.480
_cell_angle_alpha 90.00
_cell_angle_beta 90.00
_cell_angle_gamma 90.00
loop_
_atom_site_label
_atom_site_type_symbol
_atom_site_fract_x
_atom_site_fract_y
_atom_site_fract_z
Li1 Li 0.000 0.000 0.000
Sm1 Sm 0.250 0.250 0.250
Zn1 Zn 0.250 0.250 0.750
Co1 Co 0.000 0.000 0.500
```

Values from the calculation:
N(E_F)   2.51 states/eV/f.u.
ΔH_f (0 K)   -2 kJ/mol of atoms